Computed, not measured: a relaxed Ho2AuBr crystal at the PBE level of DFT.

a = 4.3967 Å, b = 4.3967 Å, c = 24.9497 Å
α = 90.00°, β = 90.00°, γ = 120.00°
Space group R-3m (No. 166, hexagonal axes)
Asymmetric unit:
Ho 0.0000 0.0000 0.1121 x6
Au 0.0000 0.0000 0.5000 x3
Br 0.0000 0.0000 0.0000 x3

Output
Offset from the most stable computed form (eV/atom): 0.0264
Formation energy (no corrections) (meV/atom): -878
Calculated density (g/cm³): 7.24
DFT total energy (eV/cell): -52.85